Entry 1:
First-principles (meta-GGA SCAN) data for a crystal of ZrAlW2 relaxed with PBEsol, as listed in Alexandria via LeMat-Bulk.

```
ZrAlW2
1.0
1.6224 -2.2885 0.0000
1.6224 2.2885 0.0000
0.0000 0.0000 9.0743
Zr Al W
1 1 2
direct
0.0000 0.0000 0.0000
0.5000 0.5000 0.2709
0.0000 0.0000 0.5049
0.5000 0.5000 0.7388
```

Output
Final energy, eV/atom: -44.44
Space-group type: Cmm2, No. 35
Size of the total moment, Bohr magnetons per cell: 0.0
Energy of formation from the pure elements, eV per atom: 0.02

***

Entry 2:
First-principles (meta-GGA SCAN) data for a crystal of ZrAlW2 relaxed with PBEsol, as listed in Alexandria via LeMat-Bulk.

```
ZrAlW2
1.0
3.2224 0.0000 0.0000
0.0000 3.2224 0.0000
0.0000 0.0000 6.5552
Zr Al W
1 1 2
direct
0.0000 0.0000 0.0000
0.5000 0.5000 0.2877
0.0000 0.0000 0.5127
0.5000 0.5000 0.7282
```

Output
Final energy, eV/atom: -44.53
Space-group type: P4mm, No. 99
Size of the total moment, Bohr magnetons per cell: 0.1
Energy of formation from the pure elements, eV per atom: -0.07

***

Entry 3:
First-principles (meta-GGA SCAN) data for a crystal of Y5Al4 relaxed with PBEsol, as listed in Alexandria via LeMat-Bulk.

```
Y5Al4
1.0
8.9210 0.0000 0.0000
-4.4605 7.7258 0.0000
0.0000 0.0000 6.3479
Y Al
10 8
direct
0.0000 0.2878 0.2500
0.0000 0.7122 0.7500
0.2878 0.0000 0.2500
0.2878 0.2878 0.7500
0.3333 0.6667 0.0000
0.3333 0.6667 0.5000
0.6667 0.3333 0.0000
0.6667 0.3333 0.5000
0.7122 0.0000 0.7500
0.7122 0.7122 0.2500
0.0000 0.0000 0.0000
0.0000 0.0000 0.5000
0.0000 0.3677 0.7500
0.0000 0.6323 0.2500
0.3677 0.0000 0.7500
0.3677 0.3677 0.2500
0.6323 0.0000 0.2500
0.6323 0.6323 0.7500
```

Output
Final energy, eV/atom: -19.29
ΔE to the lowest computed polymorph, meV per atom: 0.0
Space-group type: P6_3/mcm, No. 193
Size of the total moment, Bohr magnetons per cell: 0.2
Energy of formation from the pure elements, eV per atom: -0.37

***

Entry 4:
First-principles (meta-GGA SCAN) data for a crystal of Y5Al relaxed with PBEsol, as listed in Alexandria via LeMat-Bulk.

```
Y5Al
1.0
0.0000 4.4295 4.4295
4.4295 0.0000 4.4295
4.4295 4.4295 0.0000
Y Al
5 1
direct
0.0000 0.0000 0.0000
0.3747 0.3747 0.3747
0.3747 0.3747 0.8758
0.3747 0.8758 0.3747
0.8758 0.3747 0.3747
0.7500 0.7500 0.7500
```

Output
Final energy, eV/atom: -24.18
Space-group type: F-43m, No. 216
Size of the total moment, Bohr magnetons per cell: 0.0
Energy of formation from the pure elements, eV per atom: 0.31

***

Entry 5:
First-principles (meta-GGA SCAN) data for a crystal of Y3Al2 relaxed with PBEsol, as listed in Alexandria via LeMat-Bulk.

```
Y3Al2
1.0
8.1575 0.0000 0.0000
0.0000 8.1575 0.0000
0.0000 0.0000 7.5287
Y Al
12 8
direct
0.0000 0.5000 0.2500
0.0000 0.5000 0.7500
0.1506 0.1506 0.0000
0.2008 0.2008 0.5000
0.2992 0.7008 0.0000
0.3494 0.6506 0.5000
0.5000 0.0000 0.2500
0.5000 0.0000 0.7500
0.6506 0.3494 0.5000
0.7008 0.2992 0.0000
0.7992 0.7992 0.5000
0.8494 0.8494 0.0000
0.1196 0.8804 0.3039
0.1196 0.8804 0.6961
0.3804 0.3804 0.1961
0.3804 0.3804 0.8039
0.6196 0.6196 0.1961
0.6196 0.6196 0.8039
0.8804 0.1196 0.3039
0.8804 0.1196 0.6961
```

Output
Final energy, eV/atom: -20.20
Space-group type: P4_2/mnm, No. 136
Size of the total moment, Bohr magnetons per cell: 0.5
Energy of formation from the pure elements, eV per atom: -0.39

***

Entry 6:
First-principles (meta-GGA SCAN) data for a crystal of Y5Al relaxed with PBEsol, as listed in Alexandria via LeMat-Bulk.

```
Y5Al
1.0
2.3711 -7.3783 0.0000
2.3711 7.3783 0.0000
0.0000 0.0000 4.7575
Y Al
5 1
direct
0.0000 0.0000 0.0000
0.1587 0.8413 0.5000
0.3355 0.6645 0.0000
0.6645 0.3355 0.0000
0.8413 0.1587 0.5000
0.5000 0.5000 0.5000
```

Output
Final energy, eV/atom: -24.58
Space-group type: Cmmm, No. 65
Size of the total moment, Bohr magnetons per cell: 0.6
Energy of formation from the pure elements, eV per atom: -0.09

***

Entry 7:
First-principles (meta-GGA SCAN) data for a crystal of Y5Al relaxed with PBEsol, as listed in Alexandria via LeMat-Bulk.

```
Y5Al
1.0
3.4968 0.0000 0.0000
0.0000 3.4968 0.0000
0.0000 0.0000 13.8387
Y Al
5 1
direct
0.0000 0.0000 0.0000
0.0000 0.0000 0.3639
0.0000 0.0000 0.6361
0.5000 0.5000 0.1792
0.5000 0.5000 0.8208
0.5000 0.5000 0.5000
```

Output
Final energy, eV/atom: -24.62
Space-group type: P4/mmm, No. 123
Size of the total moment, Bohr magnetons per cell: 0.5
Energy of formation from the pure elements, eV per atom: -0.12

***

Entry 8:
First-principles (meta-GGA SCAN) data for a crystal of Y8Al relaxed with PBEsol, as listed in Alexandria via LeMat-Bulk.

```
Y8Al
1.0
-5.2113 5.2113 2.3813
5.2113 -5.2113 2.3813
5.2113 5.2113 -2.3813
Y Al
8 1
direct
0.0000 0.3319 0.3319
0.0000 0.6681 0.6681
0.3319 0.0000 0.3319
0.3416 0.3416 0.6831
0.3416 0.6584 0.0000
0.6584 0.3416 0.0000
0.6584 0.6584 0.3169
0.6681 0.0000 0.6681
0.0000 0.0000 0.0000
```

Output
Final energy, eV/atom: -25.62
Space-group type: I4/mmm, No. 139
Size of the total moment, Bohr magnetons per cell: 0.7
Energy of formation from the pure elements, eV per atom: -0.01